Record 1
DFT (PBE) results for crystalline PaTi2Ag2Se6 at its relaxed geometry.

Cell lengths 6.6302, 6.6302, 6.9501 Å; angles 93.61, 93.61, 119.46 degrees
With the nearest neighbours (Å) after each atom.
Sites, in units of the cell vectors:
Pa: 0.0000 0.0000 0.5000  6 Se 2.83-2.84
Ti: 0.3448 0.6552 0.5000  6 Se 2.59-2.69
Ti: 0.6552 0.3448 0.5000  6 Se 2.59-2.69
Ag: 0.8757 0.1243 0.0000  2 Se 2.62, 1 Ag 2.85
Ag: 0.1243 0.8757 0.0000  2 Se 2.62, 1 Ag 2.85
Se: 0.6799 0.6799 0.7326  2 Ti 2.59, 1 Pa 2.84
Se: 0.0264 0.3890 0.7183  1 Ag 2.62, 2 Ti 2.64-2.69, 1 Pa 2.83
Se: 0.3201 0.3201 0.2674  2 Ti 2.59, 1 Pa 2.84
Se: 0.3890 0.0264 0.7183  1 Ag 2.62, 2 Ti 2.64-2.69, 1 Pa 2.83
Se: 0.9736 0.6110 0.2818  1 Ag 2.62, 2 Ti 2.64-2.69, 1 Pa 2.83
Se: 0.6110 0.9736 0.2818  1 Ag 2.62, 2 Ti 2.64-2.69, 1 Pa 2.83

Properties
SG   C2/m, No. 12
Volume   23.99 Å³ per atom

Record 2
DFT (PBE) results for crystalline PaTl3Ag2Se6 at its relaxed geometry.

Cell lengths 6.8478, 6.8478, 8.3569 Å; angles 101.08, 101.08, 113.66 degrees
With the nearest neighbours (Å) after each atom.
Sites, in units of the cell vectors:
Pa: 0.0000 0.0000 0.0000  6 Se 2.76-2.93
Tl: 0.1542 0.8458 0.5000  6 Se 3.23-3.31, 1 Tl 3.54
Tl: 0.8458 0.1542 0.5000  6 Se 3.23-3.31, 1 Tl 3.54
Tl: 0.5000 0.5000 0.5000  4 Se 3.21
Ag: 0.3235 0.6765 0.0000  4 Se 2.65-2.69
Ag: 0.6765 0.3235 0.0000  4 Se 2.65-2.69
Se: 0.9584 0.6211 0.7773  1 Ag 2.65, 1 Pa 2.76
Se: 0.7212 0.7212 0.1734  2 Ag 2.69, 1 Pa 2.93
Se: 0.0416 0.3789 0.2227  1 Ag 2.65, 1 Pa 2.76
Se: 0.6211 0.9584 0.7773  1 Ag 2.65, 1 Pa 2.76
Se: 0.2788 0.2788 0.8266  2 Ag 2.69, 1 Pa 2.93
Se: 0.3789 0.0416 0.2227  1 Ag 2.65, 1 Pa 2.76

Properties
SG   C2/m, No. 12
Volume   28.00 Å³ per atom

Final energy in hartree per atom, matching the order above: -0.2060 -0.1523